[1]
{
  "formula": "CePmEr2",
  "functional": "PBE-GGA",
  "state": "relaxed",
  "dos_at_fermi_per_ev_atom": 1.99,
  "vol_a3_per_atom": 31.102,
  "crystal_system": "trigonal",
  "e_above_lowest_polymorph_ev_per_atom": 0.000,
  "lattice_angstrom": [[1.771, 1.023, 11.444], [-1.771, 1.023, 11.444], [0.000, -2.046, 11.444]],
  "species": ["Ce", "Pm", "Er", "Er"],
  "frac_coords": [[0.000, 0.000, 0.000], [0.834, 0.834, 0.834], [0.415, 0.415, 0.415], [0.586, 0.586, 0.586]]
}

[2]
{
  "formula": "CePm12Er5",
  "functional": "PBE-GGA",
  "state": "relaxed",
  "dos_at_fermi_per_ev_atom": 1.60,
  "vol_a3_per_atom": 33.150,
  "crystal_system": "monoclinic",
  "lattice_angstrom": [[6.087, -8.423, 0.000], [6.087, 8.423, 0.000], [-0.042, 0.000, 5.820]],
  "species": ["Ce", "Pm", "Pm", "Pm", "Pm", "Pm", "Pm", "Pm", "Pm", "Pm", "Pm", "Pm", "Pm", "Er", "Er", "Er", "Er", "Er"],
  "frac_coords": [[0.000, 0.000, 0.000], [0.028, 0.674, 0.994], [0.171, 0.530, 0.503], [0.202, 0.202, 0.433], [0.303, 0.303, 0.938], [0.326, 0.972, 0.006], [0.470, 0.829, 0.497], [0.530, 0.171, 0.503], [0.674, 0.028, 0.994], [0.697, 0.697, 0.062], [0.798, 0.798, 0.567], [0.829, 0.470, 0.497], [0.972, 0.326, 0.006], [0.136, 0.864, 0.500], [0.362, 0.638, 0.000], [0.500, 0.500, 0.500], [0.638, 0.362, 0.000], [0.864, 0.136, 0.500]]
}

[3]
{
  "formula": "CePm2Er3",
  "functional": "PBE-GGA",
  "state": "relaxed",
  "dos_at_fermi_per_ev_atom": 1.81,
  "vol_a3_per_atom": 31.724,
  "crystal_system": "monoclinic",
  "lattice_angstrom": [[9.042, -2.512, 0.000], [9.042, 2.512, 0.000], [-5.515, 0.000, 8.382]],
  "species": ["Ce", "Ce", "Pm", "Pm", "Pm", "Pm", "Er", "Er", "Er", "Er", "Er", "Er"],
  "frac_coords": [[0.250, 0.250, 0.120], [0.750, 0.750, 0.880], [0.087, 0.087, 0.715], [0.415, 0.415, 0.541], [0.585, 0.585, 0.459], [0.913, 0.913, 0.285], [0.084, 0.084, 0.206], [0.251, 0.251, 0.628], [0.415, 0.415, 0.037], [0.585, 0.585, 0.963], [0.749, 0.749, 0.372], [0.916, 0.916, 0.794]]
}

[4]
{
  "formula": "Ce2PmEr",
  "functional": "PBE-GGA",
  "state": "relaxed",
  "dos_at_fermi_per_ev_atom": 2.61,
  "vol_a3_per_atom": 30.782,
  "crystal_system": "tetragonal",
  "e_above_lowest_polymorph_ev_per_atom": 0.010,
  "lattice_angstrom": [[3.478, 0.000, 0.000], [0.000, 3.478, 0.000], [0.000, 0.000, 10.181]],
  "species": ["Ce", "Ce", "Pm", "Er"],
  "frac_coords": [[0.000, 0.000, 0.246], [0.000, 0.000, 0.754], [0.500, 0.500, 0.500], [0.500, 0.500, 0.000]]
}

[5]
{
  "formula": "CePm2Er5",
  "functional": "PBE-GGA",
  "state": "relaxed",
  "dos_at_fermi_per_ev_atom": 1.84,
  "vol_a3_per_atom": 31.506,
  "crystal_system": "monoclinic",
  "e_above_lowest_polymorph_ev_per_atom": 0.147,
  "lattice_angstrom": [[8.032, -4.919, 0.000], [8.032, 4.919, 0.000], [-0.839, 0.000, 6.379]],
  "species": ["Ce", "Ce", "Pm", "Pm", "Pm", "Pm", "Er", "Er", "Er", "Er", "Er", "Er", "Er", "Er", "Er", "Er"],
  "frac_coords": [[0.000, 0.500, 0.000], [0.500, 0.000, 0.500], [0.164, 0.674, 0.886], [0.326, 0.836, 0.614], [0.674, 0.164, 0.386], [0.836, 0.326, 0.114], [0.009, 0.190, 0.639], [0.190, 0.009, 0.139], [0.212, 0.393, 0.471], [0.393, 0.212, 0.971], [0.444, 0.556, 0.250], [0.556, 0.444, 0.750], [0.607, 0.788, 0.029], [0.788, 0.607, 0.529], [0.810, 0.991, 0.861], [0.991, 0.810, 0.361]]
}

[6]
{
  "formula": "CePm6Er5",
  "functional": "PBE-GGA",
  "state": "relaxed",
  "dos_at_fermi_per_ev_atom": 1.63,
  "vol_a3_per_atom": 32.481,
  "crystal_system": "orthorhombic",
  "lattice_angstrom": [[-2.544, 5.040, 7.601], [2.544, -5.040, 7.601], [2.544, 5.040, -7.601]],
  "species": ["Ce", "Pm", "Pm", "Pm", "Pm", "Pm", "Pm", "Er", "Er", "Er", "Er", "Er"],
  "frac_coords": [[0.000, 0.000, 0.000], [0.085, 0.835, 0.250], [0.249, 0.500, 0.749], [0.415, 0.165, 0.250], [0.585, 0.835, 0.750], [0.751, 0.500, 0.251], [0.915, 0.165, 0.750], [0.166, 0.666, 0.500], [0.332, 0.332, 0.000], [0.500, 0.000, 0.500], [0.668, 0.668, 0.000], [0.834, 0.334, 0.500]]
}

What did we get for energy of formation from the pure elements? Answer: 50; 93; 52; 114; 186; 37 meV/atom, in the order shown.